A relaxed K2CrWN4 crystal. Source: the Alexandria database, functional GGA-PBE.

Cell lengths 6.003, 6.848, 6.500 Å; angles 90.00, 90.00, 90.00 degrees
Last column: magnetic moment on the atom in μB.
Fractional positions:
K1 0.500 0.297 0.251  0.01
K2 0.500 0.297 0.749  0.01
K3 0.000 0.703 0.751  0.01
K4 0.000 0.703 0.249  0.01
Cr1 0.000 0.161 0.500  1.33
Cr2 0.500 0.839 0.000  1.33
W1 0.500 0.850 0.500  0.30
W2 0.000 0.149 0.000  0.30
N1 0.254 0.991 0.000  -0.05
N2 0.754 0.009 0.500  -0.05
N3 0.246 0.009 0.500  -0.05
N4 0.746 0.991 0.000  -0.05
N5 0.500 0.704 0.752  -0.04
N6 0.000 0.296 0.252  -0.04
N7 0.000 0.296 0.748  -0.04
N8 0.500 0.704 0.248  -0.04

Properties
* ρ: 4.600 g/cm³
* total magnetization: 1.677 μB/f.u.
* energy: -0.282 hartree per atom
* E_form (uncorrected): -0.425 eV per atom

A relaxed CdHPd2 crystal. Source: the Alexandria database, functional GGA-PBE.

Cell lengths 2.838, 2.838, 6.723 Å; angles 90.00, 90.00, 90.00 degrees
Fractional positions:
H1 0.500 0.500 0.000
Pd1 0.000 0.000 0.804
Pd2 0.000 0.000 0.196
Cd1 0.500 0.500 0.500

Properties
* ΔE to the lowest computed polymorph: 28.6 kJ per mole of atoms
* ρ: 10.002 g/cm³
* total magnetization: 0.000 μB/f.u.
* energy: -0.133 hartree per atom

A relaxed PdSeIO2 crystal. Source: the Alexandria database, functional GGA-PBE.

Cell lengths 3.831, 3.831, 6.797 Å; angles 90.00, 90.00, 90.00 degrees
Fractional positions:
I1 0.000 0.000 0.500
O1 0.000 0.500 0.000
O2 0.500 0.000 0.000
Se1 0.000 0.000 0.000
Pd1 0.500 0.500 0.500

Properties
* ΔE to the lowest computed polymorph: 0.0 kJ per mole of atoms
* ρ: 5.730 g/cm³
* total magnetization: 0.000 μB/f.u.
* energy: -0.146 hartree per atom
* E_form (uncorrected): 0.048 eV per atom

A relaxed Pm2Dy6In crystal. Source: the Alexandria database, functional GGA-PBE.

Cell lengths 5.790, 6.230, 9.175 Å; angles 70.15, 81.39, 63.82 degrees
Fractional positions:
Pm1 0.500 0.822 0.856
Pm2 0.500 0.178 0.144
Dy1 0.152 0.833 0.193
Dy2 0.848 0.474 0.193
Dy3 0.848 0.167 0.807
Dy4 0.152 0.526 0.807
Dy5 0.344 0.305 0.500
Dy6 0.656 0.695 0.500
In1 0.000 0.000 0.500

Properties
* ΔE to the lowest computed polymorph: 0.0 kJ per mole of atoms
* ρ: 8.202 g/cm³
* total magnetization: 0.000 μB/f.u.
* energy: -0.163 hartree per atom
* formation enthalpy at 0 K: -0.01 eV per atom

What is the total magnetization in the first record? 1.677 μB/f.u.

Which of these has the highest total magnetization? K2CrWN4